Entry 1:
The following is a DFT calculation (PBE) of crystalline Ba8IrAu2 at its relaxed geometry.

a = 7.913 Å, b = 9.221 Å, c = 9.221 Å
α = 61.38°, β = 73.96°, γ = 73.96°
Sites, in units of the cell vectors:
Ba1 0.246 0.106 0.650
Ba2 0.246 0.650 0.106
Ba3 0.754 0.894 0.350
Ba4 0.257 0.622 0.622
Ba5 0.754 0.350 0.894
Ba6 0.234 0.122 0.122
Ba7 0.766 0.878 0.878
Ba8 0.743 0.378 0.378
Ir1 0.000 0.000 0.000
Au1 0.478 0.260 0.260
Au2 0.522 0.740 0.740

SG: No. 12
Formation energy, eV per atom: -0.337
Polymorph energy (0 for the lowest one), meV per atom: 0

---

Entry 2:
The following is a DFT calculation (PBE) of crystalline AcTmMgGe at its relaxed geometry.

a = 5.368 Å, b = 5.368 Å, c = 5.368 Å
α = 60.00°, β = 60.00°, γ = 60.00°
Sites, in units of the cell vectors:
Mg1 0.750 0.750 0.750
Ac1 0.000 0.000 0.000
Tm1 0.500 0.500 0.500
Ge1 0.250 0.250 0.250

SG: No. 216
Formation energy, eV per atom: -0.253

---

Entry 3:
The following is a DFT calculation (PBE) of crystalline Ac6As5Se at its relaxed geometry.

a = 7.861 Å, b = 7.860 Å, c = 7.858 Å
α = 59.99°, β = 80.40°, γ = 70.53°
Sites, in units of the cell vectors:
Ac1 0.747 0.084 0.338
Ac2 0.253 0.577 0.338
Ac3 0.253 0.254 0.000
Ac4 0.747 0.746 0.000
Ac5 0.747 0.423 0.662
Ac6 0.253 0.916 0.662
As1 0.500 0.165 0.669
As2 0.000 0.333 0.334
As3 0.500 0.500 0.000
As4 0.000 0.667 0.666
As5 0.500 0.835 0.331
Se1 0.000 0.000 0.000

SG: No. 12
Raw formation energy, eV per atom: -1.59

---

Entry 4:
The following is a DFT calculation (PBE) of crystalline Ca2InPb2 at its relaxed geometry.

a = 9.543 Å, b = 9.543 Å, c = 3.484 Å
α = 90.00°, β = 90.00°, γ = 90.00°
Sites, in units of the cell vectors:
Pb1 0.175 0.675 0.500
Pb2 0.675 0.825 0.500
Pb3 0.825 0.325 0.500
Pb4 0.325 0.175 0.500
Ca1 0.373 0.873 0.000
Ca2 0.873 0.627 0.000
Ca3 0.627 0.127 0.000
Ca4 0.127 0.373 0.000
In1 0.000 0.000 0.000
In2 0.500 0.500 0.000

SG: No. 127
Formation energy, eV per atom: -0.257
Polymorph energy (0 for the lowest one), meV per atom: 153

---

Entry 5:
The following is a DFT calculation (PBE) of crystalline Cu2OsSe at its relaxed geometry.

a = 3.074 Å, b = 3.074 Å, c = 6.006 Å
α = 90.00°, β = 90.00°, γ = 90.00°
Sites, in units of the cell vectors:
Cu1 0.000 0.000 0.034
Cu2 0.500 0.500 0.234
Os1 0.000 0.000 0.502
Se1 0.500 0.500 0.730

SG: No. 99
Raw formation energy, eV per atom: 0.36

---

Entry 6:
The following is a DFT calculation (PBE) of crystalline Mg2Si at its relaxed geometry.

a = 4.614 Å, b = 4.614 Å, c = 6.153 Å
α = 90.00°, β = 90.00°, γ = 120.08°
Sites, in units of the cell vectors:
Mg1 0.000 0.000 0.500
Mg2 0.000 0.000 0.000
Mg3 0.667 0.333 0.250
Mg4 0.333 0.667 0.750
Si1 0.666 0.334 0.750
Si2 0.334 0.666 0.250

SG: No. 194
Raw formation energy, eV per atom: -0.01

---

Entry 7:
The following is a DFT calculation (PBE) of crystalline SnOs2SeO at its relaxed geometry.

a = 5.068 Å, b = 5.259 Å, c = 5.068 Å
α = 90.00°, β = 90.00°, γ = 90.00°
Last column: magnetic moment on the atom in μB.
Sites, in units of the cell vectors:
O1 0.500 0.500 0.500  1.27
Os1 0.000 0.000 0.500  2.26
Os2 0.500 0.000 0.000  2.14
Sn1 0.000 0.000 0.000  -0.08
Se1 0.000 0.500 0.000  0.26

SG: No. 123
Raw formation energy, eV per atom: 2.65

---

Entry 8:
The following is a DFT calculation (PBE) of crystalline TiNi3C at its relaxed geometry.

a = 3.810 Å, b = 3.810 Å, c = 3.810 Å
α = 90.00°, β = 90.00°, γ = 90.00°
Sites, in units of the cell vectors:
Ni1 0.000 0.500 0.000
Ni2 0.000 0.000 0.500
Ni3 0.500 0.000 0.000
C1 0.000 0.000 0.000
Ti1 0.500 0.500 0.500

SG: No. 221
Formation energy, eV per atom: -0.037
Polymorph energy (0 for the lowest one), meV per atom: 0

---

Entry 9:
The following is a DFT calculation (PBE) of crystalline Ba6P2Pd at its relaxed geometry.

a = 4.663 Å, b = 9.544 Å, c = 10.642 Å
α = 104.20°, β = 102.66°, γ = 90.00°
Sites, in units of the cell vectors:
Ba1 0.341 0.894 0.682
Ba2 0.009 0.240 0.019
Ba3 0.674 0.570 0.348
Ba4 0.991 0.760 0.981
Ba5 0.659 0.106 0.318
Ba6 0.326 0.430 0.652
P1 0.833 0.662 0.665
P2 0.167 0.338 0.335
Pd1 0.500 0.000 0.000

SG: No. 12
Formation energy, eV per atom: -0.673

---

Entry 10:
The following is a DFT calculation (PBE) of crystalline AlSbSe2 at its relaxed geometry.

a = 4.141 Å, b = 4.117 Å, c = 5.734 Å
α = 90.00°, β = 90.00°, γ = 90.00°
Sites, in units of the cell vectors:
Sb1 0.500 0.500 0.876
Al1 0.000 0.000 0.375
Se1 0.000 0.000 0.875
Se2 0.500 0.500 0.375

SG: No. 25
Raw formation energy, eV per atom: -0.16
Polymorph energy (0 for the lowest one), meV per atom: 333

---

Entry 11:
The following is a DFT calculation (PBE) of crystalline CaMg2Re at its relaxed geometry.

a = 5.192 Å, b = 5.192 Å, c = 5.798 Å
α = 85.36°, β = 85.36°, γ = 31.59°
Sites, in units of the cell vectors:
Ca1 0.250 0.250 0.250
Mg1 0.011 0.011 0.962
Mg2 0.489 0.489 0.538
Re1 0.750 0.750 0.750

SG: No. 12
Formation energy, eV per atom: 0.416
Polymorph energy (0 for the lowest one), meV per atom: 7

---

Entry 12:
The following is a DFT calculation (PBE) of crystalline Gd2LuSi at its relaxed geometry.

a = 4.654 Å, b = 4.614 Å, c = 4.614 Å
α = 90.00°, β = 90.00°, γ = 90.00°
Last column: magnetic moment on the atom in μB.
Sites, in units of the cell vectors:
Gd1 0.000 0.000 0.500  7.21
Gd2 0.000 0.500 0.000  7.21
Si1 0.500 0.500 0.500  -0.05
Lu1 0.500 0.000 0.000  0.16

SG: No. 123
Raw formation energy, eV per atom: -0.26

---

Entry 13:
The following is a DFT calculation (PBE) of crystalline InPt2Rh at its relaxed geometry.

a = 5.521 Å, b = 5.521 Å, c = 5.521 Å
α = 149.69°, β = 128.47°, γ = 60.96°
Sites, in units of the cell vectors:
In1 0.748 0.248 0.500
Pt1 0.999 0.999 0.000
Pt2 0.252 0.752 0.500
Rh1 0.501 0.501 0.000

SG: No. 44
Formation energy, eV per atom: -0.164

---

Entry 14:
The following is a DFT calculation (PBE) of crystalline NaNd3 at its relaxed geometry.

a = 5.178 Å, b = 5.178 Å, c = 5.178 Å
α = 90.00°, β = 90.00°, γ = 90.00°
Sites, in units of the cell vectors:
Na1 0.500 0.500 0.500
Nd1 0.500 0.000 0.000
Nd2 0.000 0.500 0.000
Nd3 0.000 0.000 0.500

SG: No. 221
Formation energy, eV per atom: 0.249
Polymorph energy (0 for the lowest one), meV per atom: 79

---

Entry 15:
The following is a DFT calculation (PBE) of crystalline InCu4Sn at its relaxed geometry.

a = 5.101 Å, b = 5.101 Å, c = 5.101 Å
α = 60.00°, β = 60.00°, γ = 60.00°
Sites, in units of the cell vectors:
Sn1 0.000 0.000 0.000
Cu1 0.625 0.625 0.126
Cu2 0.625 0.126 0.625
Cu3 0.625 0.625 0.625
Cu4 0.126 0.625 0.625
In1 0.250 0.250 0.250

SG: No. 216
Formation energy, eV per atom: 0.035

---

Entry 16:
The following is a DFT calculation (PBE) of crystalline MgCrBi3 at its relaxed geometry.

a = 5.304 Å, b = 5.304 Å, c = 5.304 Å
α = 90.00°, β = 90.00°, γ = 90.00°
Last column: magnetic moment on the atom in μB.
Sites, in units of the cell vectors:
Cr1 0.000 0.000 0.000  2.37
Mg1 0.500 0.500 0.500  0.00
Bi1 0.000 0.500 0.000  -0.10
Bi2 0.000 0.000 0.500  -0.01
Bi3 0.500 0.000 0.000  -0.26

SG: No. 221
Formation energy, eV per atom: 0.447
Polymorph energy (0 for the lowest one), meV per atom: 0

---

Entry 17:
The following is a DFT calculation (PBE) of crystalline ScRuRh3 at its relaxed geometry.

a = 4.661 Å, b = 4.661 Å, c = 4.661 Å
α = 90.00°, β = 90.00°, γ = 90.00°
Sites, in units of the cell vectors:
Sc1 0.500 0.500 0.500
Ru1 0.000 0.000 0.000
Rh1 0.000 0.500 0.000
Rh2 0.000 0.000 0.500
Rh3 0.500 0.000 0.000

SG: No. 221
Formation energy, eV per atom: 0.746
Polymorph energy (0 for the lowest one), meV per atom: 0

---

Entry 18:
The following is a DFT calculation (PBE) of crystalline Ca2NiP3Pt4 at its relaxed geometry.

a = 4.248 Å, b = 4.248 Å, c = 9.609 Å
α = 90.00°, β = 90.00°, γ = 90.00°
Last column: magnetic moment on the atom in μB.
Sites, in units of the cell vectors:
Ca1 0.500 0.000 0.260  0.00
Ca2 0.000 0.500 0.740  0.00
Ni1 0.500 0.500 0.500  0.20
P1 0.000 0.000 0.500  0.00
P2 0.500 0.000 0.869  0.00
P3 0.000 0.500 0.131  0.00
Pt1 0.500 0.500 0.000  0.00
Pt2 0.000 0.000 0.000  0.00
Pt3 0.500 0.000 0.629  0.02
Pt4 0.000 0.500 0.371  0.02

SG: No. 115
Formation energy, eV per atom: -0.754

---

Entry 19:
The following is a DFT calculation (PBE) of crystalline Sm2Er12Sc at its relaxed geometry.

a = 6.575 Å, b = 6.575 Å, c = 24.350 Å
α = 96.63°, β = 83.37°, γ = 64.72°
Sites, in units of the cell vectors:
Sm1 0.541 0.959 0.277
Sm2 0.042 0.458 0.277
Sm3 0.959 0.541 0.723
Sm4 0.458 0.042 0.723
Er1 0.392 0.608 0.810
Er2 0.892 0.108 0.810
Er3 0.847 0.653 0.870
Er4 0.048 0.952 0.936
Er5 0.003 0.997 0.328
Er6 0.452 0.548 0.064
Er7 0.833 0.166 0.556
Er8 0.503 0.497 0.328
Er9 0.347 0.153 0.870
Er10 0.653 0.847 0.130
Er11 0.319 0.181 0.574
Er12 0.667 0.334 0.444
Er13 0.997 0.003 0.672
Er14 0.181 0.319 0.426
Er15 0.153 0.347 0.130
Er16 0.680 0.820 0.426
Er17 0.820 0.680 0.574
Er18 0.108 0.892 0.190
Er19 0.334 0.667 0.556
Er20 0.497 0.503 0.672
Er21 0.548 0.452 0.936
Er22 0.608 0.392 0.190
Er23 0.166 0.833 0.444
Er24 0.952 0.048 0.064
Sc1 0.500 0.000 0.000
Sc2 0.000 0.500 0.000

SG: No. 12
Formation energy, eV per atom: 0.120

---

Entry 20:
The following is a DFT calculation (PBE) of crystalline PuTiPbAu at its relaxed geometry.

a = 5.073 Å, b = 5.073 Å, c = 5.073 Å
α = 60.00°, β = 60.00°, γ = 60.00°
Last column: magnetic moment on the atom in μB.
Sites, in units of the cell vectors:
Pb1 0.250 0.250 0.250  -0.06
Ti1 0.000 0.000 0.000  1.21
Au1 0.750 0.750 0.750  0.06
Pu1 0.500 0.500 0.500  5.35

SG: No. 216
Formation energy, eV per atom: -0.105

---

no.,volume (Å³ per atom)
1,50.84
2,27.35
3,33.04
4,31.73
5,14.19
6,18.89
7,27.01
8,11.06
9,49.69
10,24.44
11,20.39
12,24.77
13,16.48
14,34.70
15,15.64
16,29.84
17,20.25
18,17.34
19,30.98
20,23.08